DFT (GGA-PBE) results for a relaxed structure of Ho2Ga5Ru.

Energy of formation from the pure elements in eV per atom: -0.421
Uncorrected energy in eV/atom: -4.6170

Cell and atoms, written as CIF:
```
data_Ho2Ga5Ru
_symmetry_space_group_name_H-M 'P 1'
_symmetry_Int_Tables_number 1
_symmetry_space_group_name_Hall 'P 1'
_cell_length_a 6.165
_cell_length_b 6.165
_cell_length_c 8.198
_cell_angle_alpha 90.00
_cell_angle_beta 90.00
_cell_angle_gamma 90.00
loop_
_atom_site_label
_atom_site_fract_x
_atom_site_fract_y
_atom_site_fract_z
Ho1 0.000 0.500 0.000
Ho2 0.000 0.500 0.500
Ho3 0.500 0.000 0.000
Ho4 0.500 0.000 0.500
Ga1 0.000 0.000 0.005
Ga2 0.213 0.213 0.753
Ga3 0.213 0.787 0.753
Ga4 0.287 0.287 0.253
Ga5 0.287 0.713 0.253
Ga6 0.500 0.500 0.505
Ga7 0.713 0.287 0.253
Ga8 0.713 0.713 0.253
Ga9 0.787 0.213 0.753
Ga10 0.787 0.787 0.753
Ru1 0.000 0.000 0.304
Ru2 0.500 0.500 0.804
```